A relaxed SmYSn2Ir crystal. Source: OQMD via LeMat-Bulk, functional PBE-GGA.

Cell: 5.9769 5.9769 10.9782 Å, 113.89 113.89 44.62°
With the nearest neighbours (Å) after each atom.
Fractional coordinates of all 10 atoms:
Sm  0.1887  0.1887  0.1265  2 Ir 3.07, 6 Sn 3.19-3.38
Sm  0.8113  0.8113  0.8735  2 Ir 3.07, 6 Sn 3.19-3.38
Y  0.0001  0.0001  0.3301  1 Ir 3.02, 4 Sn 3.16-3.19
Y  0.9999  0.9999  0.6699  1 Ir 3.02, 4 Sn 3.16-3.19
Sn  0.3455  0.3455  0.4522  3 Ir 2.68-2.85
Sn  0.4738  0.4738  0.1196  1 Ir 2.73, 1 Sn 2.93
Sn  0.5262  0.5262  0.8804  1 Ir 2.73, 1 Sn 2.93
Sn  0.6545  0.6545  0.5478  3 Ir 2.68-2.85
Ir  0.2733  0.2733  0.6716  4 Sn 2.68-2.85
Ir  0.7267  0.7267  0.3284  4 Sn 2.68-2.85



A relaxed SrSmIr crystal. Source: OQMD via LeMat-Bulk, functional PBE-GGA.

Cell: 4.9931 4.9931 4.9931 Å, 60.00 60.00 60.00°
With the nearest neighbours (Å) after each atom.
Fractional coordinates of all 3 atoms:
Sr  0.0000  0.0000  0.0000  4 Ir 3.06
Sm  0.5000  0.5000  0.5000  4 Ir 3.06
Ir  0.7500  0.7500  0.7500  4 Sm 3.06, 4 Sr 3.06

Results
Energy relative to the lowest polymorph listed for this composition, meV/atom: 0



A relaxed Tb3SmIr8 crystal. Source: OQMD via LeMat-Bulk, functional PBE-GGA.

Cell: 9.2934 9.2934 9.2934 Å, 33.58 33.58 33.58°
With the nearest neighbours (Å) after each atom.
Fractional coordinates of all 12 atoms:
Tb  0.0000  0.0000  0.0000  12 Ir 3.15-3.16, 1 Tb 3.28, 3 Sm 3.29
Tb  0.1248  0.1248  0.1248  12 Ir 3.13-3.15, 4 Tb 3.28
Tb  0.4996  0.4996  0.4996  12 Ir 3.13-3.15, 3 Tb 3.28, 1 Sm 3.29
Sm  0.6247  0.6247  0.6247  12 Ir 3.15-3.16, 4 Tb 3.29
Ir  0.0620  0.0620  0.5616  6 Ir 2.68-2.69
Ir  0.0620  0.5616  0.0620  6 Ir 2.68-2.69
Ir  0.0631  0.5624  0.5624  6 Ir 2.68-2.69
Ir  0.3123  0.3123  0.3123  6 Ir 2.69
Ir  0.5616  0.0620  0.0620  6 Ir 2.68-2.69
Ir  0.5624  0.0631  0.5624  6 Ir 2.68-2.69
Ir  0.5624  0.5624  0.0631  6 Ir 2.68-2.69
Ir  0.8122  0.8122  0.8122  6 Ir 2.68

Results
E_form, eV per formula unit: -9.50



A relaxed SmTcIr crystal. Source: OQMD via LeMat-Bulk, functional PBE-GGA.

Cell: 4.5461 4.5461 4.5461 Å, 60.00 60.00 60.00°
With the nearest neighbours (Å) after each atom.
Fractional coordinates of all 3 atoms:
Sm  0.0000  0.0000  0.0000  4 Ir 2.78
Tc  0.5000  0.5000  0.5000  4 Ir 2.78
Ir  0.7500  0.7500  0.7500  4 Tc 2.78, 4 Sm 2.78

Results
E_form, eV per formula unit: 0.95
Energy relative to the lowest polymorph listed for this composition, meV/atom: 0



Taking the records one at a time from the top gives E_tot values of -0.470; -0.398; -0.606; -0.563 Ry/atom.